Entry 1:
Ta2CuRe: optimized geometry, GGA-PBE.

a = 5.858 Å, b = 5.858 Å, c = 5.858 Å
α = 56.41°, β = 152.87°, γ = 131.55°
Fractional positions:
1 Re 0.000 0.500 0.500
2 Ta 0.000 0.759 0.759
3 Ta 0.000 0.241 0.241
4 Cu 0.000 0.000 0.000

As for the excess energy over the best structure of this formula in the dataset: 3.57 eV/f.u. The calculation puts the formation energy at 3.2 eV/f.u. The density of states at the Fermi level comes out at 2.8 states/eV/cell.



Entry 2:
Ta2CuRe: optimized geometry, GGA-PBE.

a = 2.754 Å, b = 2.754 Å, c = 8.808 Å
α = 90.00°, β = 90.00°, γ = 106.82°
Fractional positions:
1 Cu 0.000 0.000 0.507
2 Ta 0.000 0.000 0.989
3 Ta 0.500 0.500 0.263
4 Re 0.500 0.500 0.740

As for the excess energy over the best structure of this formula in the dataset: 0.77 eV/f.u. The calculation puts the formation energy at 0.4 eV/f.u. The density of states at the Fermi level comes out at 3.1 states/eV/cell.



Entry 3:
Ta2CuRe: optimized geometry, GGA-PBE.

a = 3.277 Å, b = 3.277 Å, c = 5.915 Å
α = 90.00°, β = 90.00°, γ = 90.00°
Fractional positions:
1 Ta 0.500 0.500 0.273
2 Cu 0.000 0.000 0.501
3 Ta 0.000 0.000 0.985
4 Re 0.500 0.500 0.741

As for the excess energy over the best structure of this formula in the dataset: 0.50 eV/f.u. The calculation puts the formation energy at 0.1 eV/f.u. The density of states at the Fermi level comes out at 2.6 states/eV/cell.



> Among the records above, which one has the highest excess energy over the best structure of this formula in the dataset?

number 1